Entry 1:
## NaErMg (PBE)

Data for a relaxed NaErMg crystal.

Summary:
* volume: 29.33 A^3/atom
* DFT formation energy: 0.14 eV per atom
* crystal system: trigonal

a b c (Å): 3.3915 3.3915 8.8342
angles (deg): 90.00 90.00 120.00
Space group P3m1 (No. 156)
One atom of each set of equivalent atoms:
Na (0.0000, 0.0000, 0.0000)
Er (0.3333, 0.6667, 0.6367)
Mg (0.6667, 0.3333, 0.3312)

---

Entry 2:
## NaErMg (PBE)

Data for a relaxed NaErMg crystal.

Summary:
* volume: 32.20 A^3/atom
* DFT formation energy: 0.37 eV per atom
* crystal system: tetragonal

a b c (Å): 3.973 3.973 12.242
angles (deg): 90.00 90.00 90.00
Space group P4/nmm (No. 129, origin choice 2)
One atom of each set of equivalent atoms:
Na (0.250, 0.250, 0.085)
Er (0.250, 0.250, 0.718)
Mg (0.250, 0.750, 0.500)

---

Entry 3:
## NaErMg4 (PBE)

Data for a relaxed NaErMg4 crystal.

Summary:
* volume: 26.31 A^3/atom
* DFT formation energy: 0.06 eV per atom
* crystal system: cubic

a b c (Å): 8.579 8.579 8.579
angles (deg): 90.00 90.00 90.00
Space group F-43m (No. 216)
One atom of each set of equivalent atoms:
Na (0.000, 0.000, 0.000)
Er (0.250, 0.250, 0.250)
Mg (0.124, 0.124, 0.624)

---

Entry 4:
## NaEr2Mg (PBE)

Data for a relaxed NaEr2Mg crystal.

Summary:
* volume: 29.82 A^3/atom
* DFT formation energy: 0.16 eV per atom
* crystal system: tetragonal

a b c (Å): 3.710 3.710 8.667
angles (deg): 90.00 90.00 90.00
Space group P4/mmm (No. 123)
One atom of each set of equivalent atoms:
Na (0.000, 0.000, 0.000)
Er (0.500, 0.500, 0.292)
Mg (0.000, 0.000, 0.500)

---

Entry 5:
## NaErMgPb (PBE)

Data for a relaxed NaErMgPb crystal.

Summary:
* volume: 27.04 A^3/atom
* DFT formation energy: -0.14 eV per atom
* crystal system: cubic

a b c (Å): 7.564 7.564 7.564
angles (deg): 90.00 90.00 90.00
Space group F-43m (No. 216)
One atom of each set of equivalent atoms:
Na (0.000, 0.000, 0.000)
Er (0.000, 0.000, 0.500)
Mg (0.250, 0.250, 0.750)
Pb (0.250, 0.250, 0.250)

---

Entry 6:
## NaErMg2Pb2 (PBE)

Data for a relaxed NaErMg2Pb2 crystal.

Summary:
* volume: 31.18 A^3/atom
* DFT formation energy: -0.07 eV per atom
* crystal system: trigonal

a b c (Å): 4.9732 4.9732 26.2069
angles (deg): 90.00 90.00 120.00
Space group R-3m (No. 166, hexagonal axes)
One atom of each set of equivalent atoms:
Na (0.0000, 0.0000, 0.0000)
Er (0.0000, 0.0000, 0.5000)
Mg (0.0000, 0.0000, 0.1208)
Pb (0.0000, 0.0000, 0.2438)

---

Entry 7:
## NaErMgSn (PBE)

Data for a relaxed NaErMgSn crystal.

Summary:
* volume: 25.83 A^3/atom
* DFT formation energy: -0.22 eV per atom
* crystal system: cubic

a b c (Å): 7.448 7.448 7.448
angles (deg): 90.00 90.00 90.00
Space group F-43m (No. 216)
One atom of each set of equivalent atoms:
Na (0.000, 0.000, 0.000)
Er (0.000, 0.000, 0.500)
Mg (0.250, 0.250, 0.250)
Sn (0.250, 0.250, 0.750)

---

Entry 8:
## NaEr2MgTe4 (PBE)

Data for a relaxed NaEr2MgTe4 crystal.

Summary:
* volume: 29.45 A^3/atom
* crystal system: tetragonal
* energy: -4.185 eV/atom

a b c (Å): 6.149 6.149 12.463
angles (deg): 90.00 90.00 90.00
Space group I-4m2 (No. 119)
One atom of each set of equivalent atoms:
Na (0.000, 0.000, 0.000)
Er (0.000, 0.000, 0.500)
Er (0.000, 0.500, 0.250)
Mg (0.000, 0.500, 0.750)
Te (0.000, 0.000, 0.254)
Te (0.000, 0.500, 0.000)

---

Entry 9:
## ErThMgNb (PBE)

Data for a relaxed ErThMgNb crystal.

Summary:
* volume: 24.90 A^3/atom
* DFT formation energy: 0.15 eV per atom
* crystal system: cubic

a b c (Å): 7.359 7.359 7.359
angles (deg): 90.00 90.00 90.00
Space group F-43m (No. 216)
One atom of each set of equivalent atoms:
Er (0.000, 0.000, 0.000)
Th (0.000, 0.000, 0.500)
Mg (0.250, 0.250, 0.750)
Nb (0.250, 0.250, 0.250)

---

Entry 10:
## ErMgZrNb (PBE)

Data for a relaxed ErMgZrNb crystal.

Summary:
* volume: 22.25 A^3/atom
* DFT formation energy: 0.17 eV per atom
* crystal system: cubic

a b c (Å): 7.087 7.087 7.087
angles (deg): 90.00 90.00 90.00
Space group F-43m (No. 216)
One atom of each set of equivalent atoms:
Er (0.000, 0.000, 0.000)
Mg (0.250, 0.250, 0.750)
Zr (0.000, 0.000, 0.500)
Nb (0.250, 0.250, 0.250)

---

Entry 11:
## NdErMg (PBE)

Data for a relaxed NdErMg crystal.

Summary:
* volume: 29.76 A^3/atom
* DFT formation energy: 0.04 eV per atom
* crystal system: trigonal

a b c (Å): 5.4862 5.4862 3.4248
angles (deg): 90.00 90.00 120.00
Space group P3m1 (No. 156)
One atom of each set of equivalent atoms:
Nd (0.0000, 0.0000, 0.0000)
Er (0.3333, 0.6667, 0.5669)
Mg (0.6667, 0.3333, 0.3136)

---

Entry 12:
## Nd4ErMg2 (PBE)

Data for a relaxed Nd4ErMg2 crystal.

Summary:
* volume: 35.20 A^3/atom
* DFT formation energy: 0.25 eV per atom
* crystal system: trigonal

a b c (Å): 5.6347 5.6347 26.8837
angles (deg): 90.00 90.00 120.00
Space group R-3m (No. 166, hexagonal axes)
One atom of each set of equivalent atoms:
Nd (0.0000, 0.0000, 0.1304)
Nd (0.0000, 0.0000, 0.2579)
Er (0.0000, 0.0000, 0.5000)
Mg (0.0000, 0.0000, 0.3796)

---

- Which of these has the highest volume?
  Nd4ErMg2